Record 1
This record from OQMD via LeMat-Bulk describes HoTmMg after structural relaxation. The functional is PBE.

Results
Space group: F-43m
ΔE to the lowest computed polymorph in meV per atom: 493.3
Magnetic moment in Bohr magnetons per cell: 0.06

Unit cell a=5.1869 b=5.1869 c=5.1869 alpha=60.00 beta=60.00 gamma=60.00
Element x y z (fractional)
Ho 0.2500 0.2500 0.2500
Mg 0.0000 0.0000 0.0000
Tm 0.7500 0.7500 0.7500

Record 2
This record from OQMD via LeMat-Bulk describes ZrInFeW after structural relaxation. The functional is PBE.

Results
Space group: F-43m
ΔE to the lowest computed polymorph in meV per atom: 0.0
Magnetic moment in Bohr magnetons per cell: 2.95

Unit cell a=4.6122 b=4.6122 c=4.6122 alpha=60.00 beta=60.00 gamma=60.00
Element x y z (fractional)
W 0.2500 0.2500 0.2500
Zr 0.5000 0.5000 0.5000
In 0.0000 0.0000 0.0000
Fe 0.7500 0.7500 0.7500

Record 3
This record from OQMD via LeMat-Bulk describes NdLuNp after structural relaxation. The functional is PBE.

Results
Space group: F-43m
ΔH_f (0 K) in eV/f.u.: 3.490
Magnetic moment in Bohr magnetons per cell: 5.36

Unit cell a=5.0630 b=5.0630 c=5.0630 alpha=60.00 beta=60.00 gamma=60.00
Element x y z (fractional)
Nd 0.2500 0.2500 0.2500
Np 0.5000 0.5000 0.5000
Lu 0.0000 0.0000 0.0000

Record 4
This record from OQMD via LeMat-Bulk describes LuPb2S3 after structural relaxation. The functional is PBE.

Results
VASP energy in eV per cell: -30.64
Space group: P-3m1
Magnetic moment in Bohr magnetons per cell: 0.01

Unit cell a=3.8890 b=3.8890 c=11.5409 alpha=90.00 beta=90.00 gamma=120.00
Element x y z (fractional)
Pb 0.6667 0.3333 0.3344
Pb 0.3333 0.6667 0.6656
S 0.6667 0.3333 0.8729
S 0.3333 0.6667 0.1271
S 0.0000 0.0000 0.5000
Lu 0.0000 0.0000 0.0000

Record 5
This record from OQMD via LeMat-Bulk describes Tb2NiIr after structural relaxation. The functional is PBE.

Results
Space group: P2_1/m
ΔH_f (0 K) in eV/f.u.: -2.666
Magnetic moment in Bohr magnetons per cell: 0.01

Unit cell a=5.6469 b=4.1064 c=7.7823 alpha=90.00 beta=110.16 gamma=90.00
Element x y z (fractional)
Ir 0.1473 0.2500 0.7850
Tb 0.7138 0.2500 0.9318
Tb 0.2862 0.7500 0.0682
Ni 0.8474 0.7500 0.7094
Ir 0.8527 0.7500 0.2150
Tb 0.2837 0.7500 0.5740
Tb 0.7163 0.2500 0.4260
Ni 0.1526 0.2500 0.2906

Record 6
This record from OQMD via LeMat-Bulk describes BeCdW after structural relaxation. The functional is PBE.

Results
Space group: F-43m
ΔE to the lowest computed polymorph in meV per atom: 76.4
Magnetic moment in Bohr magnetons per cell: 1.72

Unit cell a=4.2634 b=4.2634 c=4.2634 alpha=60.00 beta=60.00 gamma=60.00
Element x y z (fractional)
Be 0.2500 0.2500 0.2500
W 0.7500 0.7500 0.7500
Cd 0.0000 0.0000 0.0000